No. 1
A relaxed structure of BaHg3Pd3. Source: Alexandria, functional PBE.

Calculated values
* E_form: -0.248 eV/atom
* offset from the most stable computed form: 0.0 kJ/mol of atoms
* DFT total energy: -0.10574 Ha/atom

Geometry as extended XYZ:
```
14
Lattice="3.740 2.159 6.655 -3.740 2.159 6.655 0.000 -4.318 6.655" Properties=species:S:1:pos:R:3 pbc="T T T"
Ba 0.000 0.000 2.943
Ba 0.000 0.000 17.022
Hg -0.472 -1.757 5.945
Hg -1.286 1.287 5.945
Hg -1.758 -0.470 14.021
Hg 1.758 0.470 5.945
Hg 1.286 -1.287 14.021
Hg 0.472 1.757 14.021
Pd -0.987 -1.285 8.784
Pd -1.607 0.212 11.182
Pd -0.620 1.497 8.784
Pd 0.620 -1.497 11.182
Pd 1.607 -0.212 8.784
Pd 0.987 1.285 11.182
```



No. 2
A relaxed structure of Ba4HgPd3. Source: Alexandria, functional PBE.

Calculated values
* E_form: -0.515 eV/atom
* DFT total energy: -0.12720 Ha/atom

Geometry as extended XYZ:
```
8
Lattice="4.558 0.000 0.000 0.000 4.830 0.000 0.000 0.000 12.189" Properties=species:S:1:pos:R:3 pbc="T T T"
Ba 0.000 0.000 0.000
Ba 0.000 2.415 3.156
Ba 2.279 0.000 5.770
Ba 2.279 2.415 9.376
Hg 0.000 0.000 8.423
Pd 0.000 2.415 6.792
Pd 2.279 0.000 2.419
Pd 2.279 2.415 0.694
```



No. 3
A relaxed structure of BaHgPd. Source: Alexandria, functional PBE.

Calculated values
* E_form: -0.392 eV/atom
* DFT total energy: -0.10527 Ha/atom

Geometry as extended XYZ:
```
3
Lattice="-1.936 1.936 5.536 1.936 -1.936 5.536 1.936 1.936 -5.536" Properties=species:S:1:pos:R:3 pbc="T T T"
Ba 0.000 0.000 0.000
Hg 0.000 0.000 7.773
Pd 0.000 0.000 3.385
```



no.,total moment (μB/atom)
1,0.000
2,0.000
3,0.000